1.
! K2TlCu (PBE, relaxed); values from VASP
! DOS at the Fermi energy   2.11 states/eV per cell
&SYSTEM
  ibrav = 0, nat = 4, ntyp = 3
/
ATOMIC_SPECIES
K 39.10 K.upf
Tl 204.38 Tl.upf
Cu 63.55 Cu.upf
CELL_PARAMETERS angstrom
3.712 -4.442 0.000
3.712 4.442 0.000
0.000 0.000 4.341
ATOMIC_POSITIONS angstrom
K 1.856 2.221 0.000
K 1.856 -2.221 0.000
Tl 0.000 0.000 2.171
Cu 3.712 0.000 2.171


2.
! K2TlCu (PBE, relaxed); values from VASP
! DOS at the Fermi energy   4.03 states/eV per cell
&SYSTEM
  ibrav = 0, nat = 4, ntyp = 3
/
ATOMIC_SPECIES
K 39.10 K.upf
Tl 204.38 Tl.upf
Cu 63.55 Cu.upf
CELL_PARAMETERS angstrom
0.000 4.168 4.168
4.168 0.000 4.168
4.168 4.168 0.000
ATOMIC_POSITIONS angstrom
K 2.084 2.084 2.084
K 6.251 6.251 6.251
Tl 0.000 0.000 0.000
Cu 4.168 4.168 4.168


3.
! K2TlCu (PBE, relaxed); values from VASP
! DOS at the Fermi energy   2.47 states/eV per cell
&SYSTEM
  ibrav = 0, nat = 4, ntyp = 3
/
ATOMIC_SPECIES
K 39.10 K.upf
Tl 204.38 Tl.upf
Cu 63.55 Cu.upf
CELL_PARAMETERS angstrom
2.073 1.197 10.460
-2.073 1.197 10.460
0.000 -2.394 10.460
ATOMIC_POSITIONS angstrom
K 0.000 0.000 7.462
K 0.000 0.000 23.919
Tl 0.000 0.000 0.000
Cu 0.000 0.000 15.690


Energies in meV per atom, measured from the most stable structure: 1 0; 2 48; 3 40.